Tb4NdIn2 (PBE, optimized geometry); formation enthalpy at 0 K = -113.0 kJ/mol of formula units; polymorph energy (0 for the lowest one) = 0 meV per atom; crystal system = tetragonal; total magnetic moment = 0.000 μB/atom; SG = P4_2/mnm; raw total energy = -59.9 eV/cell; volume = 222.32 Å³/f.u.
1.0
9.462 0.000 0.000
0.000 9.462 0.000
0.000 0.000 4.966
Tb Nd In
8 2 4
Direct
0.111 0.357 0.000 Tb
0.143 0.611 0.500 Tb
0.357 0.111 0.000 Tb
0.389 0.857 0.500 Tb
0.611 0.143 0.500 Tb
0.643 0.889 0.000 Tb
0.857 0.389 0.500 Tb
0.889 0.643 0.000 Tb
0.000 0.000 0.500 Nd
0.500 0.500 0.000 Nd
0.179 0.821 0.000 In
0.321 0.321 0.500 In
0.679 0.679 0.500 In
0.821 0.179 0.000 In